[1]
# LiRe2Hg

A geometry-optimized LiRe2Hg structure (PBE, the Alexandria database).

Results
Total magnetization, Bohr magnetons per cell: 0.00
Total DFT energy (no corrections), eV per atom: -6.29

abc: 4.446 4.446 6.279
angles: 90.00 90.00 90.00
Space group I-4m2 (No. 119)
Unique sites:
Li (0.000, 0.000, 0.000) [2 per cell]
Re (0.000, 0.000, 0.500) [2 per cell]
Re (0.000, 0.500, 0.250) [2 per cell]
Hg (0.000, 0.500, 0.750) [2 per cell]

[2]
# LiReHg2

A geometry-optimized LiReHg2 structure (PBE, the Alexandria database).

Results
Total magnetization, Bohr magnetons per cell: 0.00
Energy above the most stable polymorph in this dataset, meV/atom: 114

abc: 2.828 2.828 8.817
angles: 90.00 90.00 90.00
Space group P4/mmm (No. 123)
Unique sites:
Li (0.000, 0.000, 0.000) [1 per cell]
Re (0.000, 0.000, 0.500) [1 per cell]
Hg (0.500, 0.500, 0.237) [2 per cell]

[3]
# LiReHg2

A geometry-optimized LiReHg2 structure (PBE, the Alexandria database).

Results
Total magnetization, Bohr magnetons per cell: 0.00
Energy above the most stable polymorph in this dataset, meV/atom: 109

abc: 3.287 4.586 9.399
angles: 90.00 90.00 90.00
Space group Cmmm (No. 65)
Unique sites:
Li (0.000, 0.000, 0.000) [2 per cell]
Re (0.000, 0.000, 0.500) [2 per cell]
Hg (0.000, 0.500, 0.236) [4 per cell]

[4]
# LiRe2Hg

A geometry-optimized LiRe2Hg structure (PBE, the Alexandria database).

Results
Total magnetization, Bohr magnetons per cell: 0.00
Total DFT energy (no corrections), eV per atom: -5.96

abc: 3.192 3.192 6.121
angles: 90.00 90.00 90.00
Space group P4/mmm (No. 123)
Unique sites:
Li (0.000, 0.000, 0.000) [1 per cell]
Re (0.500, 0.500, 0.190) [2 per cell]
Hg (0.000, 0.000, 0.500) [1 per cell]

[5]
# LiRe2Hg

A geometry-optimized LiRe2Hg structure (PBE, the Alexandria database).

Results
Total magnetization, Bohr magnetons per cell: 0.00
Total DFT energy (no corrections), eV per atom: -6.43

abc: 3.004 4.587 9.597
angles: 90.00 90.00 90.00
Space group Cmm2 (No. 35)
Unique sites:
Li (0.000, 0.000, 0.000) [2 per cell]
Re (0.000, 0.000, 0.539) [2 per cell]
Re (0.000, 0.500, 0.762) [2 per cell]
Hg (0.000, 0.500, 0.253) [2 per cell]

[6]
# Li2ReHg

A geometry-optimized Li2ReHg structure (PBE, the Alexandria database).

Results
Total magnetization, Bohr magnetons per cell: 0.29
Total DFT energy (no corrections), eV per atom: -3.62

abc: 3.966 3.966 3.877
angles: 90.00 90.00 90.00
Space group P4/mmm (No. 123)
Unique sites:
Li (0.000, 0.500, 0.000) [2 per cell]
Re (0.000, 0.000, 0.500) [1 per cell]
Hg (0.500, 0.500, 0.500) [1 per cell]

[7]
# Li2ReHg

A geometry-optimized Li2ReHg structure (PBE, the Alexandria database).

Results
Total magnetization, Bohr magnetons per cell: 0.00
Total DFT energy (no corrections), eV per atom: -3.79

abc: 2.719 2.719 9.179
angles: 90.00 90.00 90.00
Space group P4mm (No. 99)
Unique sites:
Li (0.000, 0.000, 0.000) [1 per cell]
Li (0.500, 0.500, 0.277) [1 per cell]
Re (0.000, 0.000, 0.504) [1 per cell]
Hg (0.500, 0.500, 0.771) [1 per cell]

[8]
# LiReHg2

A geometry-optimized LiReHg2 structure (PBE, the Alexandria database).

Results
Total magnetization, Bohr magnetons per cell: 10.15
Energy above the most stable polymorph in this dataset, meV/atom: 517

abc: 6.642 6.642 6.642
angles: 90.00 90.00 90.00
Space group F-43m (No. 216)
Unique sites:
Li (0.000, 0.000, 0.000) [4 per cell]
Re (0.250, 0.250, 0.250) [4 per cell]
Hg (0.000, 0.000, 0.500) [4 per cell]
Hg (0.250, 0.250, 0.750) [4 per cell]

- What is the total magnetization in the third record?
  0.00 Bohr magnetons per cell

- Number 3 is which compound?
  LiReHg2